This record from Alexandria describes a relaxed In2GaBi crystal. The functional is PBE.

```
In2GaBi
1.0
2.483 1.434 5.217
-2.483 1.434 5.217
0.000 -2.868 5.217
In Ga Bi
2 1 1
Cartesian
0.000 0.000 3.685
0.000 0.000 11.966
0.000 0.000 7.825
0.000 0.000 0.000
```

Values from the calculation:
Energy above the most stable polymorph in this dataset in meV/atom: 28
Energy of formation in eV/atom: 0.074
SG: No. 166
E_tot in eV/atom: -3.022